Model w:
A plane-wave DFT calculation with GGA-PBE was carried out for an optimized crystal structure of CrCu3Se.

Summary:
N(E_F) in states/eV/cell: 4.1

Cell lengths 4.605, 4.605, 4.605 Å; angles 90.00, 90.00, 90.00 degrees
Element x y z (fractional)
Cu: 0.000 0.500 0.000
Cu: 0.500 0.000 0.000
Cu: 0.000 0.000 0.500
Se: 0.500 0.500 0.500
Cr: 0.000 0.000 0.000


Model x:
A plane-wave DFT calculation with GGA-PBE was carried out for an optimized crystal structure of CrCu3Se.

Summary:
N(E_F) in states/eV/cell: 2.0

Cell lengths 4.566, 4.566, 4.566 Å; angles 90.00, 90.00, 90.00 degrees
Element x y z (fractional)
Se: 0.000 0.000 0.000
Cu: 0.000 0.000 0.500
Cu: 0.500 0.000 0.000
Cu: 0.000 0.500 0.000
Cr: 0.500 0.500 0.500


Least stable of them? model w.


Model w:
A plane-wave DFT calculation with GGA-PBE was carried out for an optimized crystal structure of CrCuSe.

Summary:
N(E_F) in states/eV/cell: 1.6

Cell lengths 4.816, 4.816, 3.346 Å; angles 69.67, 69.68, 40.65 degrees
Element x y z (fractional)
Cu: 0.661 0.661 0.339
Se: 0.351 0.351 0.649
Cr: 0.988 0.988 0.012


Model x:
A plane-wave DFT calculation with GGA-PBE was carried out for an optimized crystal structure of CrCuSe.

Summary:
N(E_F) in states/eV/cell: 2.3

Cell lengths 4.195, 4.195, 4.195 Å; angles 60.00, 60.00, 60.00 degrees
Element x y z (fractional)
Cu: 0.000 0.000 0.000
Cr: 0.750 0.750 0.750
Se: 0.500 0.500 0.500


Least stable of them? model w.


Model w:
A plane-wave DFT calculation with GGA-PBE was carried out for an optimized crystal structure of Cr2CuSi2.

Summary:
N(E_F) in states/eV/cell: 4.2

Cell lengths 6.211, 6.211, 3.175 Å; angles 90.00, 90.00, 90.00 degrees
Element x y z (fractional)
Cu: 0.500 0.500 0.000
Cu: 0.000 0.000 0.000
Si: 0.635 0.135 0.000
Si: 0.365 0.865 0.000
Si: 0.135 0.365 0.000
Si: 0.865 0.635 0.000
Cr: 0.163 0.663 0.500
Cr: 0.837 0.337 0.500
Cr: 0.337 0.163 0.500
Cr: 0.663 0.837 0.500


Model x:
A plane-wave DFT calculation with GGA-PBE was carried out for an optimized crystal structure of Cr2CuSi2.

Summary:
N(E_F) in states/eV/cell: 7.4

Cell lengths 6.400, 6.400, 3.110 Å; angles 90.00, 90.00, 90.00 degrees
Element x y z (fractional)
Cu: 0.500 0.500 0.000
Cu: 0.000 0.000 0.000
Cr: 0.351 0.851 0.000
Cr: 0.149 0.351 0.000
Cr: 0.851 0.649 0.000
Cr: 0.649 0.149 0.000
Si: 0.353 0.147 0.500
Si: 0.853 0.353 0.500
Si: 0.647 0.853 0.500
Si: 0.147 0.647 0.500


Least stable of them? model x.